## Dy2ZrCu4Si4 (GGA-PBE)

Data for Dy2ZrCu4Si4 after structural relaxation.

The structure in POSCAR format:
```
Dy2ZrCu4Si4
1.0
-2.048 3.213 6.731
2.048 -3.213 6.731
2.048 3.213 -6.731
Dy Zr Cu Si
2 1 4 4
Direct
0.129 0.129 0.000
0.871 0.871 0.000
0.500 0.000 0.500
0.141 0.331 0.809
0.478 0.669 0.809
0.522 0.331 0.191
0.859 0.669 0.191
0.194 0.500 0.694
0.288 0.788 0.500
0.712 0.212 0.500
0.806 0.500 0.306
```

Output
Uncorrected energy, eV per cell: -61.03
Crystal system: orthorhombic
Total moment, Bohr magnetons per cell: 0.00